Entry from Alexandria: a relaxed Ba2CdGaTe5 crystal (PBE-GGA).

## Properties
Its crystal system is orthorhombic. Its symmetry is Cmc2_1 (36). The formation energy without anion corrections is -0.901 eV per atom. As for the density: 5.56 g/cm³. The volume comes out at 653.4 Å³/cell.

a = 4.4775 Å, b = 11.1393 Å, c = 13.3735 Å
α = 90.00°, β = 90.00°, γ = 101.59°
Last column: nearest neighbours and their distance in Å.
Fractional positions:
Ba 0.8814 0.7628 0.1818  5 Te 3.43-3.56
Ba 0.8844 0.7689 0.7956  7 Te 3.47-3.67
Ba 0.1186 0.2372 0.6818  5 Te 3.43-3.56
Ba 0.1156 0.2311 0.2956  7 Te 3.47-3.67
Ga 0.4331 0.8661 0.4437  4 Te 2.64-2.72
Ga 0.5669 0.1339 0.9437  4 Te 2.64-2.72
Te 0.3612 0.7223 0.9900  1 Cd 2.83
Te 0.2815 0.5630 0.6744  2 Cd 3.00
Te 0.6867 0.3735 0.8903  1 Ga 2.71
Te 0.4917 0.9835 0.2707  1 Ga 2.64
Te 0.9607 0.9213 0.5507  2 Ga 2.72
Te 0.6388 0.2777 0.4900  1 Cd 2.83
Te 0.0393 0.0787 0.0507  2 Ga 2.72
Te 0.7185 0.4370 0.1744  2 Cd 3.00
Te 0.5083 0.0165 0.7707  1 Ga 2.64
Te 0.3133 0.6265 0.3903  1 Ga 2.71
Cd 0.7666 0.5333 0.5267  5 Te 2.83-3.06
Cd 0.2334 0.4667 0.0267  5 Te 2.83-3.06